Entry 1:
A relaxed Mn2MoRu crystal, computed with GGA-PBE.

## Properties
N(E_F) in states/eV/atom: 0.717
Magnetization in μB/cell: 4.29
Calculated formation energy in eV per atom: 0.06
SG: P4/mmm (123)

Geometry as POSCAR:
```
Mn2MoRu
1.0
4.191 0.000 0.000
0.000 4.191 0.000
0.000 0.000 3.108
Mn Mo Ru
2 1 1
Direct
0.000 0.500 0.000 Mn
0.500 0.000 0.000 Mn
0.000 0.000 0.500 Mo
0.500 0.500 0.500 Ru
```

---

Entry 2:
A relaxed K3Pr2SmSe6 crystal, computed with GGA-PBE.

## Properties
N(E_F) in states/eV/atom: 0.000
Magnetization in μB/cell: 0.00
Formation energy from raw total energies in meV per atom: -1752.8
SG: C2/m (12)

Geometry as POSCAR:
```
K3Pr2SmSe6
1.0
3.770 -6.531 0.000
3.770 6.531 0.000
-2.514 0.000 7.712
K Pr Sm Se
3 2 1 6
Direct
0.000 0.000 0.000 K
0.333 0.667 0.000 K
0.667 0.333 0.000 K
0.167 0.833 0.500 Pr
0.833 0.167 0.500 Pr
0.500 0.500 0.500 Sm
0.101 0.430 0.289 Se
0.242 0.242 0.711 Se
0.430 0.101 0.289 Se
0.570 0.899 0.711 Se
0.758 0.758 0.289 Se
0.899 0.570 0.711 Se
```

---

Entry 3:
A relaxed ReTeBr2 crystal, computed with GGA-PBE.

## Properties
N(E_F) in states/eV/atom: 0.828
Energy above the lowest structure with this stoichiometry in meV/atom: 273
Magnetization in μB/cell: 0.00
Formation energy from raw total energies in meV per atom: 423.4
SG: P4mm (99)

Geometry as POSCAR:
```
ReTeBr2
1.0
3.189 0.000 0.000
0.000 3.189 0.000
0.000 0.000 9.623
Re Te Br
1 1 2
Direct
0.000 0.000 0.000 Re
0.500 0.500 0.169 Te
0.000 0.000 0.487 Br
0.500 0.500 0.819 Br
```

---

Entry 4:
A relaxed TlIn6 crystal, computed with GGA-PBE.

## Properties
N(E_F) in states/eV/atom: 0.495
Energy above the lowest structure with this stoichiometry in meV/atom: 37
Magnetization in μB/cell: 0.00
Calculated formation energy in eV per atom: 0.06
SG: P4/mmm (123)

Geometry as POSCAR:
```
TlIn6
1.0
4.762 0.000 0.000
0.000 4.762 0.000
0.000 0.000 8.967
Tl In
1 6
Direct
0.000 0.000 0.000 Tl
0.000 0.000 0.500 In
0.000 0.500 0.275 In
0.000 0.500 0.725 In
0.500 0.000 0.275 In
0.500 0.000 0.725 In
0.500 0.500 0.000 In
```

---

Question: Look up the magnetization of the third one.
Answer: 0.00 μB/cell

---

Question: Which value of magnetization does entry 4 give?
Answer: 0.00 μB/cell